W3SeO | PBE with a Hubbard U | optimized geometry

The space group is Pm-3m (No. 221) and the conventional cell measures 4.295, 4.295 and 4.295 Å, with angles of 90.00, 90.00 and 90.00 degrees. The distinct sites, in fractional coordinates, are W at (0.000, 0.000, 0.500), Se at (0.500, 0.500, 0.500) and O at (0.000, 0.000, 0.000).

For the density of states at the Fermi level, the calculation gives 2.65 states/eV per cell. Its energy above the most stable polymorph in this dataset is 0.000 eV per atom.